{
  "formula": "SiCBrF2",
  "functional": "PBE-GGA",
  "state": "relaxed",
  "lattice_angstrom": [[3.8225, 0.0000, 0.0000], [0.0000, 3.8225, 0.0000], [0.0000, 0.0000, 4.3923]],
  "species": ["Si", "C", "Br", "F", "F"],
  "fractional_positions": [[0.0000, 0.0000, 0.0000], [0.0000, 0.0000, 0.5000], [0.5000, 0.5000, 0.0000], [0.0000, 0.5000, 0.5000], [0.5000, 0.0000, 0.5000]],
  "spacegroup": "P4/mmm",
  "raw_formation_energy_ev_per_atom": 0.19
}